DFT (meta-GGA SCAN) results for a crystal of YMn2Se relaxed with PBEsol.

- VASP energy: -85.7 eV for the cell shown
- Uncorrected formation energy: -0.31 eV/atom
- Total moment: 7.07 μB/cell

Geometry as CIF:
```
data_YMn2Se
_chemical_formula_sum 'Y1 Mn2 Se1'
_cell_length_a 3.546
_cell_length_b 3.546
_cell_length_c 5.735
_cell_angle_alpha 90.00
_cell_angle_beta 90.00
_cell_angle_gamma 90.00
_symmetry_space_group_name_H-M 'P 4/m m m'
_symmetry_Int_Tables_number 123
_symmetry_space_group_name_Hall '-P 4 2'
loop_
_atom_site_label
_atom_site_fract_x
_atom_site_fract_y
_atom_site_fract_z
Y1 0.000 0.000 0.000
Mn1 0.500 0.500 0.273
Se1 0.000 0.000 0.500
```